An optimized crystal structure of ZnNiOF2, computed with PBE+U.

Geometry as POSCAR:
```
ZnNiOF2
1.0
3.813 0.000 0.000
0.000 3.813 0.000
0.000 0.000 4.054
O Zn F Ni
1 1 2 1
Direct
0.000 0.000 0.500 O
0.500 0.500 0.500 Zn
0.500 0.000 0.000 F
0.000 0.500 0.000 F
0.000 0.000 0.000 Ni
```

Its space group is P4/mmm (123). The energy above the lowest structure with this stoichiometry is 0 meV per atom. The density is 5.02 g/cm3.